1.
A geometry-optimized TaReRu structure. Source: Alexandria via LeMat-Bulk, functional PBE.

Computed properties:
E above lowest polymorph: 14.26 kcal/mol of atoms
Fermi-level density of states: 4.198 states/eV/f.u.

a b c (Å): 4.268 4.268 4.268
angles (deg): 60.00 60.00 60.00
Positions (direct):
Ta (0.000, 0.000, 0.000)
Re (0.500, 0.500, 0.500)
Ru (0.250, 0.250, 0.250)

2.
A geometry-optimized AlFeCl2 structure. Source: Alexandria via LeMat-Bulk, functional PBE.

Computed properties:
E above lowest polymorph: 4.03 kcal/mol of atoms
Formation energy without anion corrections: -0.2996 eV/atom

a b c (Å): 4.826 4.826 7.130
angles (deg): 110.31 110.31 37.45
Positions (direct):
Al (0.000, 0.000, 0.000)
Fe (0.742, 0.742, 0.099)
Cl (0.274, 0.274, 0.802)
Cl (0.409, 0.409, 0.320)

3.
A geometry-optimized LaPm6DyHo2 structure. Source: Alexandria via LeMat-Bulk, functional PBE.

Computed properties:
Fermi-level density of states: 14.895 states/eV/f.u.

a b c (Å): 8.935 8.935 9.745
angles (deg): 94.14 94.14 117.52
Positions (direct):
La (0.094, 0.906, 0.750)
La (0.906, 0.094, 0.250)
Pm (0.009, 0.794, 0.379)
Pm (0.068, 0.520, 0.182)
Pm (0.206, 0.991, 0.121)
Pm (0.259, 0.612, 0.555)
Pm (0.388, 0.741, 0.945)
Pm (0.480, 0.932, 0.318)
Pm (0.520, 0.068, 0.682)
Pm (0.612, 0.259, 0.055)
Pm (0.741, 0.388, 0.445)
Pm (0.794, 0.009, 0.879)
Pm (0.932, 0.480, 0.818)
Pm (0.991, 0.206, 0.621)
Dy (0.470, 0.530, 0.250)
Dy (0.530, 0.470, 0.750)
Ho (0.208, 0.305, 0.954)
Ho (0.305, 0.208, 0.454)
Ho (0.695, 0.792, 0.546)
Ho (0.792, 0.695, 0.046)

4.
A geometry-optimized La4AsIrI2 structure. Source: Alexandria via LeMat-Bulk, functional PBE.

Computed properties:
Fermi-level density of states: 6.693 states/eV/f.u.
Formation energy without anion corrections: -1.2083 eV/atom

a b c (Å): 7.836 4.243 8.292
angles (deg): 90.00 106.84 90.00
Positions (direct):
La (0.209, 0.000, 0.188)
La (0.258, 0.500, 0.801)
La (0.742, 0.500, 0.199)
La (0.791, 0.000, 0.812)
As (0.500, 0.000, 0.000)
Ir (0.000, 0.500, 0.000)
I (0.000, 0.000, 0.500)
I (0.500, 0.500, 0.500)

5.
A geometry-optimized Ac2Tb4Sm structure. Source: Alexandria via LeMat-Bulk, functional PBE.

Computed properties:
Fermi-level density of states: 10.799 states/eV/f.u.

a b c (Å): 18.983 18.983 3.668
angles (deg): 90.00 90.00 168.94
Positions (direct):
Ac (0.204, 0.796, 0.000)
Ac (0.796, 0.204, 0.000)
Tb (0.066, 0.934, 0.000)
Tb (0.369, 0.631, 0.500)
Tb (0.631, 0.369, 0.500)
Tb (0.934, 0.066, 0.000)
Sm (0.500, 0.500, 0.500)

6.
A geometry-optimized AcCdNiPd structure. Source: Alexandria via LeMat-Bulk, functional PBE.

Computed properties:
Fermi-level density of states: 3.482 states/eV/f.u.

a b c (Å): 4.997 4.997 4.997
angles (deg): 60.00 60.00 60.00
Positions (direct):
Ac (0.000, 0.000, 0.000)
Cd (0.500, 0.500, 0.500)
Ni (0.750, 0.750, 0.750)
Pd (0.250, 0.250, 0.250)

7.
A geometry-optimized Hf6HIr3 structure. Source: Alexandria via LeMat-Bulk, functional PBE.

Computed properties:
Fermi-level density of states: 7.765 states/eV/f.u.

a b c (Å): 5.730 7.130 10.594
angles (deg): 90.00 122.21 90.00
Positions (direct):
Hf (0.064, 0.064, 0.242)
Hf (0.064, 0.436, 0.742)
Hf (0.214, 0.723, 0.070)
Hf (0.214, 0.777, 0.570)
Hf (0.390, 0.149, 0.048)
Hf (0.390, 0.351, 0.548)
Hf (0.610, 0.649, 0.452)
Hf (0.610, 0.851, 0.952)
Hf (0.786, 0.223, 0.430)
Hf (0.786, 0.277, 0.930)
Hf (0.936, 0.564, 0.258)
Hf (0.936, 0.936, 0.758)
H (0.000, 0.000, 0.000)
H (0.000, 0.500, 0.500)
Ir (0.313, 0.102, 0.716)
Ir (0.313, 0.398, 0.216)
Ir (0.500, 0.000, 0.500)
Ir (0.500, 0.500, 0.000)
Ir (0.687, 0.602, 0.784)
Ir (0.687, 0.898, 0.284)

8.
A geometry-optimized CdHgW2 structure. Source: Alexandria via LeMat-Bulk, functional PBE.

Computed properties:
E above lowest polymorph: 7.51 kcal/mol of atoms
Fermi-level density of states: 1.883 states/eV/f.u.

a b c (Å): 5.623 5.623 5.623
angles (deg): 146.10 132.52 59.61
Positions (direct):
Cd (0.000, 0.000, 0.000)
Hg (0.500, 0.500, 0.000)
W (0.251, 0.751, 0.500)
W (0.749, 0.249, 0.500)

no.,DFT total energy (eV/atom)
1,-10.661
2,-4.274
3,-4.602
4,-5.748
5,-4.405
6,-4.279
7,-9.503
8,-6.024